Record 1
Computed, not measured: an optimized crystal structure of Pm4SiGeSe2 at the PBE level of DFT.

The space group is P2/m (No. 10) and the conventional cell measures 7.3132, 4.2338 and 7.3954 Å, with angles of 90.00, 109.26 and 90.00 degrees. The asymmetric unit holds Pm at (0.2450, 0.0000, 0.2395), Pm at (0.2525, 0.5000, 0.7599), Si at (0.0000, 0.5000, 0.0000), Ge at (0.5000, 0.0000, 0.0000), Se at (0.0000, 0.0000, 0.5000) and Se at (0.5000, 0.5000, 0.5000).

The total magnetization is 0.00 Bohr magnetons per cell. Its energy is -5.8578 eV per atom.



Record 2
Computed, not measured: an optimized crystal structure of Pm4SnGeSe2 at the PBE level of DFT.

The space group is P2/m (No. 10) and the conventional cell measures 7.4722, 4.2817 and 7.4892 Å, with angles of 90.00, 109.19 and 90.00 degrees. The asymmetric unit holds Pm at (0.2399, 0.0000, 0.2447), Pm at (0.2404, 0.5000, 0.7467), Sn at (0.5000, 0.0000, 0.0000), Ge at (0.0000, 0.5000, 0.0000), Se at (0.0000, 0.0000, 0.5000) and Se at (0.5000, 0.5000, 0.5000).

The total magnetization is 0.00 Bohr magnetons per cell. Its energy is -5.6537 eV per atom.



Record 3
Computed, not measured: an optimized crystal structure of Pm6SnGe2Se3 at the PBE level of DFT.

The space group is C2/m (No. 12) and the conventional cell measures 18.7233, 4.2699 and 8.6234 Å, with angles of 90.00, 103.61 and 90.00 degrees. The asymmetric unit holds Pm at (0.0028, 0.0000, 0.2596), Pm at (0.1700, 0.5000, 0.0937), Pm at (0.1698, 0.5000, 0.5773), Sn at (0.0000, 0.5000, 0.0000), Ge at (0.1669, 0.0000, 0.3340), Se at (0.0000, 0.5000, 0.5000) and Se at (0.1659, 0.0000, 0.8320).

The total magnetization is 0.00 Bohr magnetons per cell. Its energy is -5.7062 eV per atom.



Record 4
Computed, not measured: an optimized crystal structure of TbPmGeSe at the PBE level of DFT.

The space group is R3m (No. 160, hexagonal axes) and the conventional cell measures 4.1925, 4.1925 and 20.6977 Å, with angles of 90.00, 90.00 and 120.00 degrees. The asymmetric unit holds Tb at (0.0000, 0.0000, 0.0000), Pm at (0.0000, 0.0000, 0.5071), Ge at (0.0000, 0.0000, 0.2553) and Se at (0.0000, 0.0000, 0.7511).

The total magnetization is 0.00 Bohr magnetons per cell. Its energy is -5.7692 eV per atom.



Record 5
Computed, not measured: an optimized crystal structure of Pm8GeTe4Se3 at the PBE level of DFT.

The space group is R-3m (No. 166, hexagonal axes) and the conventional cell measures 8.6031, 8.6031 and 21.7650 Å, with angles of 90.00, 90.00 and 120.00 degrees. The asymmetric unit holds Pm at (0.0000, 0.0000, 0.2396), Pm at (0.0056, 0.5028, 0.2400), Ge at (0.0000, 0.0000, 0.5000), Te at (0.0000, 0.0000, 0.0000), Te at (0.0000, 0.5000, 0.0000) and Se at (0.0000, 0.5000, 0.5000).

The total magnetization is 0.00 Bohr magnetons per cell. Its energy is -5.6632 eV per atom.



Record 6
Computed, not measured: an optimized crystal structure of Pm4GeTeSe2 at the PBE level of DFT.

The space group is P2/m (No. 10) and the conventional cell measures 7.3697, 4.2817 and 7.5394 Å, with angles of 90.00, 109.35 and 90.00 degrees. The asymmetric unit holds Pm at (0.2422, 0.0000, 0.2272), Pm at (0.2539, 0.5000, 0.7661), Ge at (0.5000, 0.0000, 0.0000), Te at (0.5000, 0.5000, 0.5000), Se at (0.0000, 0.0000, 0.5000) and Se at (0.0000, 0.5000, 0.0000).

The total magnetization is 0.00 Bohr magnetons per cell. Its energy is -5.7604 eV per atom.



Record 7
Computed, not measured: an optimized crystal structure of Pm6Ge2Te3Se at the PBE level of DFT.

The space group is C2/m (No. 12) and the conventional cell measures 19.1636, 4.3335 and 8.8195 Å, with angles of 90.00, 104.69 and 90.00 degrees. The asymmetric unit holds Pm at (0.0092, 0.0000, 0.2415), Pm at (0.1642, 0.5000, 0.1033), Pm at (0.1726, 0.5000, 0.5678), Ge at (0.1664, 0.0000, 0.3317), Te at (0.0000, 0.5000, 0.5000), Te at (0.1645, 0.0000, 0.8337) and Se at (0.0000, 0.5000, 0.0000).

The total magnetization is 0.00 Bohr magnetons per cell. Its energy is -5.6133 eV per atom.



Record 8
Computed, not measured: an optimized crystal structure of Pm6Ge3TeSe2 at the PBE level of DFT.

The space group is C2/m (No. 12) and the conventional cell measures 18.7662, 4.2856 and 8.6289 Å, with angles of 90.00, 103.99 and 90.00 degrees. The asymmetric unit holds Pm at (0.0012, 0.0000, 0.2339), Pm at (0.1649, 0.5000, 0.0892), Pm at (0.1732, 0.5000, 0.5797), Ge at (0.0000, 0.5000, 0.0000), Ge at (0.1654, 0.0000, 0.3317), Te at (0.0000, 0.5000, 0.5000) and Se at (0.1676, 0.0000, 0.8344).

The total magnetization is 0.00 Bohr magnetons per cell. Its energy is -5.7070 eV per atom.



Listing formation energy without anion corrections for the structures above in their given order: -1356.3; -1329.7; -1356.7; -1398.5; -1560.5; -1544.1; -1392.6; -1334.8 meV/atom.